The following is a DFT calculation (GGA-PBE) of a relaxed TbSm3Te6 crystal.

```
TbSm3Te6
1.0
7.4043 0.0000 0.0000
0.0000 8.2210 0.0000
-7.2899 0.0000 11.3041
Tb Sm Te
2 6 12
Cartesian
0.0000 0.0000 0.0000
-3.6450 4.1105 5.6520
-4.0075 0.9878 8.4539
-0.3626 3.1227 2.8019
0.0572 0.0000 5.6520
3.7022 4.1105 0.0000
0.4770 5.0983 8.5022
4.1219 7.2332 2.8501
-2.4766 1.4541 4.7420
-6.1216 2.6564 10.3941
-1.1581 5.5419 4.7234
-4.8030 6.7896 10.3754
1.2588 0.4409 2.7948
-2.3862 3.6696 8.4468
2.5006 4.5514 2.8573
-1.1444 7.7801 8.5093
4.9174 1.4314 0.9286
1.2725 2.6791 6.5807
6.2360 5.5646 0.9100
2.5910 6.7669 6.5621
```

E_tot, eV per atom: -5.14
Size of the total moment, μB/cell: 0.00
Space-group type: No. 14

***

The following is a DFT calculation (GGA-PBE) of a relaxed Tb2SmTe4 crystal.

```
Tb2SmTe4
1.0
16.5449 0.0000 0.0000
0.0000 4.3843 0.0000
-3.4580 0.0000 6.7877
Tb Sm Te
4 2 8
Cartesian
3.2389 0.0000 1.5702
1.5755 2.1921 5.2175
11.5114 2.1921 1.5702
9.8479 0.0000 5.2175
-1.7290 2.1921 3.3938
6.5434 0.0000 3.3938
-1.2624 2.1921 6.4862
0.5495 0.0000 3.1888
4.2650 2.1921 3.5989
6.0769 0.0000 0.3015
7.0100 0.0000 6.4862
8.8219 2.1921 3.1888
12.5374 0.0000 3.5989
14.3493 2.1921 0.3015
```

Distance to the lowest polymorph of the same formula, meV per atom: 0.0
Size of the total moment, μB/cell: 0.00
Space-group type: No. 12

***

The following is a DFT calculation (GGA-PBE) of a relaxed Tb4SmTe5 crystal.

```
Tb4SmTe5
1.0
-2.1830 2.1830 15.6712
2.1830 -2.1830 15.6712
2.1830 2.1830 -15.6712
Tb Sm Te
4 1 5
Cartesian
0.0000 0.0000 2.9961
0.0000 0.0000 9.1862
0.0000 0.0000 22.1562
0.0000 0.0000 28.3463
0.0000 0.0000 15.6712
0.0000 0.0000 0.0000
0.0000 0.0000 6.1229
0.0000 0.0000 12.4307
0.0000 0.0000 18.9116
0.0000 0.0000 25.2195
```

E_tot, eV per atom: -5.22
Size of the total moment, μB/cell: 0.00
Space-group type: No. 139

***

Question: Look up the size of the total moment of the first one.
Answer: 0.00 μB/cell

***

Question: size of the total moment of number 2 (Tb2SmTe4)?
Answer: 0.00 μB/cell